Rb3Mn2PbCl9 after structural relaxation, computed with PBE.

POSCAR file:
```
Rb3Mn2PbCl9
1.0
7.417 0.000 0.000
-3.709 6.423 0.000
0.000 0.000 9.308
Cl Mn Pb Rb
9 2 1 3
Cartesian
3.709 0.000 0.000 Cl
1.854 3.212 0.000 Cl
5.470 1.124 6.404 Cl
1.947 1.124 6.404 Cl
3.709 4.175 6.404 Cl
1.761 5.299 2.903 Cl
-1.761 5.299 2.903 Cl
0.000 2.249 2.903 Cl
-1.854 3.212 0.000 Cl
0.000 4.282 1.444 Mn
3.709 2.141 7.864 Mn
0.000 0.000 4.654 Pb
0.000 0.000 0.000 Rb
0.000 4.282 6.447 Rb
3.709 2.141 2.861 Rb
```

Symmetry   No. 164
Formation energy (no corrections)   -1.4574 eV per atom
E   -4.2287 eV per atom